No. 1
Entry from the Open Quantum Materials Database: a relaxed CsScTe3Pd crystal (PBE).

Geometry as extended XYZ:
```
12
Lattice="2.1179 -9.2139 0.0000 2.1179 9.2139 0.0000 0.0000 0.0000 10.2080" Properties=species:S:1:pos:R:3 pbc="T T T"
Te 2.1179 1.9735 0.6522
Te 2.1179 -1.9735 9.5558
Te 2.1179 -1.9735 5.7562
Te 2.1179 7.7031 2.5520
Te 2.1179 1.9735 4.4518
Te 2.1179 -7.7031 7.6560
Pd 2.1179 -0.1523 7.6560
Pd 2.1179 0.1523 2.5520
Cs 2.1179 4.6855 7.6560
Cs 2.1179 -4.6855 2.5520
Sc 0.0000 0.0000 5.1040
Sc 0.0000 0.0000 0.0000
```

Calculated values
- M_tot (Bohr magnetons per cell) = 0.01
- energy above the most stable polymorph in this dataset (meV per atom) = 0
- SG = No. 63



No. 2
Entry from the Open Quantum Materials Database: a relaxed ScCdCuSi crystal (PBE).

Geometry as extended XYZ:
```
4
Lattice="0.5390 -4.2875 -1.5072 -3.5250 -2.2193 -1.8958 -0.0099 -0.8639 -4.4942" Properties=species:S:1:pos:R:3 pbc="T T T"
Sc -0.7489 -1.8427 -1.9743
Cd -1.4979 -3.6854 -3.9486
Si 0.0000 0.0000 0.0000
Cu -2.2468 -5.5280 -5.9229
```

Calculated values
- M_tot (Bohr magnetons per cell) = 0.00
- energy above the most stable polymorph in this dataset (meV per atom) = 0
- SG = No. 216